This record from Alexandria via LeMat-Bulk describes crystalline RbTl6Pt2 at its relaxed geometry. The functional is GGA-PBE.

The density of states at the Fermi level comes out at 0.910 states/eV per atom. The value obtained for the total energy is -2.99 eV per atom. Its symmetry is Fd-3m. The value obtained for the theoretical density is 8.375 g cm⁻³.

a b c (Å): 9.8457 9.8457 9.8457
angles (deg): 60.00 60.00 60.00
With the nearest neighbours (Å) after each atom.
Atoms (fractional coordinates):
Rb 0.5000 0.5000 0.5000  6 Tl 3.91
Rb 0.7500 0.7500 0.7500  6 Tl 3.91
Pt 0.1250 0.1250 0.1250  6 Tl 2.79
Pt 0.6250 0.1250 0.1250  6 Tl 2.79
Pt 0.1250 0.1250 0.6250  6 Tl 2.79
Pt 0.1250 0.6250 0.1250  6 Tl 2.79
Tl 0.7807 0.2193 0.2193  2 Pt 2.79
Tl 0.2193 0.7807 0.7807  2 Pt 2.79
Tl 0.2193 0.7807 0.2193  2 Pt 2.79
Tl 0.4693 0.0307 0.4693  2 Pt 2.79
Tl 0.2193 0.2193 0.7807  2 Pt 2.79
Tl 0.0307 0.0307 0.4693  2 Pt 2.79
Tl 0.4693 0.4693 0.0307  2 Pt 2.79
Tl 0.7807 0.2193 0.7807  2 Pt 2.79
Tl 0.0307 0.4693 0.4693  2 Pt 2.79
Tl 0.7807 0.7807 0.2193  2 Pt 2.79
Tl 0.4693 0.0307 0.0307  2 Pt 2.79
Tl 0.0307 0.4693 0.0307  2 Pt 2.79


This record from Alexandria via LeMat-Bulk describes crystalline Rb3Tl2Pt2 at its relaxed geometry. The functional is GGA-PBE.

The density of states at the Fermi level comes out at 0.539 states/eV per atom. The value obtained for the total energy is -2.94 eV per atom. Its symmetry is Pbcm. The value obtained for the theoretical density is 7.183 g cm⁻³.

a b c (Å): 6.9862 9.5958 14.5565
angles (deg): 90.00 90.00 90.00
With the nearest neighbours (Å) after each atom.
Atoms (fractional coordinates):
Rb 0.8697 0.1107 0.0970  2 Pt 3.33-3.53
Rb 0.1303 0.8893 0.5970  2 Pt 3.33-3.53
Rb 0.8697 0.3893 0.5970  2 Pt 3.33-3.53
Rb 0.8697 0.1107 0.4030  2 Pt 3.33-3.53
Rb 0.3218 0.2134 0.7500  4 Tl 3.40-3.71, 2 Pt 3.65
Rb 0.3218 0.2866 0.2500  4 Tl 3.40-3.71, 2 Pt 3.65
Rb 0.6782 0.7866 0.2500  4 Tl 3.40-3.71, 2 Pt 3.65
Rb 0.8697 0.3893 0.9030  2 Pt 3.33-3.53
Rb 0.1303 0.8893 0.9030  2 Pt 3.33-3.53
Rb 0.1303 0.6107 0.4030  2 Pt 3.33-3.53
Rb 0.6782 0.7134 0.7500  4 Tl 3.40-3.71, 2 Pt 3.65
Rb 0.1303 0.6107 0.0970  2 Pt 3.33-3.53
Pt 0.6035 0.4827 0.0828  3 Tl 2.74-2.87, 1 Pt 2.83
Pt 0.6035 0.0173 0.5828  3 Tl 2.74-2.87, 1 Pt 2.83
Pt 0.3965 0.5173 0.5828  3 Tl 2.74-2.87, 1 Pt 2.83
Pt 0.6035 0.0173 0.9172  3 Tl 2.74-2.87, 1 Pt 2.83
Pt 0.3965 0.5173 0.9172  3 Tl 2.74-2.87, 1 Pt 2.83
Pt 0.3965 0.9827 0.0828  3 Tl 2.74-2.87, 1 Pt 2.83
Pt 0.6035 0.4827 0.4172  3 Tl 2.74-2.87, 1 Pt 2.83
Pt 0.3965 0.9827 0.4172  3 Tl 2.74-2.87, 1 Pt 2.83
Tl 0.5886 0.7500 0.5000  4 Pt 2.84-2.87
Tl 0.4114 0.2500 0.5000  4 Pt 2.84-2.87
Tl 0.2321 0.9286 0.2500  2 Pt 2.74
Tl 0.7679 0.0714 0.7500  2 Pt 2.74
Tl 0.5886 0.7500 0.0000  4 Pt 2.84-2.87
Tl 0.7679 0.4286 0.2500  2 Pt 2.74
Tl 0.4114 0.2500 0.0000  4 Pt 2.84-2.87
Tl 0.2321 0.5714 0.7500  2 Pt 2.74


This record from Alexandria via LeMat-Bulk describes crystalline Rb3Tl4Pt2 at its relaxed geometry. The functional is GGA-PBE.

The density of states at the Fermi level comes out at 0.384 states/eV per atom. The value obtained for the total energy is -2.87 eV per atom. The value obtained for the energy above the most stable polymorph in this dataset is 0 meV per atom. Its symmetry is C2/c. The value obtained for the theoretical density is 7.157 g cm⁻³.

a b c (Å): 7.7724 9.9762 9.9762
angles (deg): 67.16 75.37 75.37
With the nearest neighbours (Å) after each atom.
Atoms (fractional coordinates):
Pt 0.0837 0.5804 0.8629  4 Tl 2.74-2.85, 1 Pt 2.76
Pt 0.9163 0.4196 0.1371  4 Tl 2.74-2.85, 1 Pt 2.76
Pt 0.4163 0.1371 0.4196  4 Tl 2.74-2.85, 1 Pt 2.76
Pt 0.5837 0.8629 0.5804  4 Tl 2.74-2.85, 1 Pt 2.76
Tl 0.1660 0.5938 0.1196  2 Pt 2.85
Tl 0.0619 0.2324 0.3813  2 Pt 2.74-2.75
Tl 0.3340 0.8804 0.4062  2 Pt 2.85
Tl 0.8340 0.4062 0.8804  2 Pt 2.85
Tl 0.9381 0.7676 0.6187  2 Pt 2.74-2.75
Tl 0.4381 0.6187 0.7676  2 Pt 2.74-2.75
Tl 0.5619 0.3813 0.2324  2 Pt 2.74-2.75
Tl 0.6660 0.1196 0.5938  2 Pt 2.85
Rb 0.7500 0.5542 0.4458  2 Pt 3.64, 6 Tl 3.67-3.94, 2 Rb 4.07
Rb 0.1402 0.9856 0.7658  3 Pt 3.56-3.89, 4 Tl 3.77-3.95
Rb 0.6402 0.7658 0.9856  3 Pt 3.56-3.89, 4 Tl 3.77-3.95
Rb 0.2500 0.4458 0.5542  2 Pt 3.64, 6 Tl 3.67-3.94, 2 Rb 4.07
Rb 0.3598 0.2342 0.0144  3 Pt 3.56-3.89, 4 Tl 3.77-3.95
Rb 0.8598 0.0144 0.2342  3 Pt 3.56-3.89, 4 Tl 3.77-3.95


This record from Alexandria via LeMat-Bulk describes crystalline RbTlPt3 at its relaxed geometry. The functional is GGA-PBE.

The density of states at the Fermi level comes out at 0.052 states/eV per atom. The value obtained for the total energy is -2.48 eV per atom. The value obtained for the energy above the most stable polymorph in this dataset is 1825 meV per atom. Its symmetry is Pm-3m. The value obtained for the theoretical density is 10.281 g cm⁻³.

a b c (Å): 5.2091 5.2091 5.2091
angles (deg): 90.00 90.00 90.00
With the nearest neighbours (Å) after each atom.
Atoms (fractional coordinates):
Pt 0.0000 0.5000 0.0000  2 Rb 2.60
Pt 0.0000 0.0000 0.5000  2 Rb 2.60
Pt 0.5000 0.0000 0.0000  2 Rb 2.60
Rb 0.0000 0.0000 0.0000  6 Pt 2.60
Tl 0.5000 0.5000 0.5000  12 Pt 3.68


This record from Alexandria via LeMat-Bulk describes crystalline RbTl6Pt3 at its relaxed geometry. The functional is GGA-PBE.

The density of states at the Fermi level comes out at 0.364 states/eV per atom. The value obtained for the total energy is -3.37 eV per atom. Its symmetry is P2_1/m. The value obtained for the theoretical density is 10.596 g cm⁻³.

a b c (Å): 4.4036 11.8241 11.4475
angles (deg): 93.99 90.00 90.00
With the nearest neighbours (Å) after each atom.
Atoms (fractional coordinates):
Tl 0.7500 0.4205 0.5718  3 Pt 2.86-2.90
Tl 0.2500 0.8670 0.5493  2 Pt 2.83
Tl 0.2500 0.3328 0.7758  3 Pt 2.87-2.92
Tl 0.2500 0.3110 0.2883  2 Pt 2.78-2.79
Tl 0.7500 0.4021 0.0527  3 Pt 2.90-2.91
Tl 0.2500 0.5795 0.4282  3 Pt 2.86-2.90
Tl 0.7500 0.6672 0.2242  3 Pt 2.87-2.92
Tl 0.2500 0.5979 0.9473  3 Pt 2.90-2.91
Tl 0.7500 0.6890 0.7117  2 Pt 2.78-2.79
Tl 0.7500 0.8059 0.9839  3 Pt 2.75-2.97
Tl 0.2500 0.1941 0.0161  3 Pt 2.75-2.97
Tl 0.7500 0.1330 0.4507  2 Pt 2.83
Pt 0.7500 0.0559 0.0314  2 Pt 2.64, 2 Tl 2.75
Pt 0.2500 0.2704 0.5244  6 Tl 2.78-2.92
Pt 0.7500 0.4852 0.8207  7 Tl 2.79-2.91
Pt 0.2500 0.5148 0.1793  7 Tl 2.79-2.91
Pt 0.7500 0.7296 0.4756  6 Tl 2.78-2.92
Pt 0.2500 0.9441 0.9686  2 Pt 2.64, 2 Tl 2.75
Rb 0.2500 0.9424 0.2507  1 Pt 3.23, 1 Tl 3.59
Rb 0.7500 0.0576 0.7493  1 Pt 3.23, 1 Tl 3.59


This record from Alexandria via LeMat-Bulk describes crystalline Rb3TlPt at its relaxed geometry. The functional is GGA-PBE.

The density of states at the Fermi level comes out at 0.620 states/eV per atom. The value obtained for the total energy is -2.34 eV per atom. The value obtained for the energy above the most stable polymorph in this dataset is 0 meV per atom. Its symmetry is P4_2/mnm. The value obtained for the theoretical density is 4.028 g cm⁻³.

a b c (Å): 5.3208 14.2576 14.2575
angles (deg): 90.00 90.00 90.00
With the nearest neighbours (Å) after each atom.
Atoms (fractional coordinates):
Pt 0.0000 0.3668 0.3668  2 Tl 2.66
Pt 0.5000 0.1332 0.8668  2 Tl 2.66
Pt 0.5000 0.8668 0.1332  2 Tl 2.66
Pt 0.0000 0.6332 0.6332  2 Tl 2.66
Rb 0.0000 0.1413 0.3677  1 Pt 3.22
Rb 0.5000 0.8677 0.3587  1 Pt 3.22
Rb 0.0000 0.6323 0.8587  1 Pt 3.22
Rb 0.5000 0.1323 0.6413  1 Pt 3.22
Rb 0.0000 0.4026 0.5974  2 Pt 3.33
Rb 0.0000 0.3677 0.1413  1 Pt 3.22
Rb 0.0000 0.5974 0.4026  2 Pt 3.33
Rb 0.5000 0.6413 0.1323  1 Pt 3.22
Rb 0.5000 0.0974 0.0974  2 Pt 3.33
Rb 0.0000 0.8587 0.6323  1 Pt 3.22
Rb 0.5000 0.9026 0.9026  2 Pt 3.33
Rb 0.5000 0.3587 0.8677  1 Pt 3.22
Tl 0.5000 0.3662 0.3662  2 Pt 2.66
Tl 0.0000 0.8662 0.1338  2 Pt 2.66
Tl 0.5000 0.6338 0.6338  2 Pt 2.66
Tl 0.0000 0.1338 0.8662  2 Pt 2.66


This record from Alexandria via LeMat-Bulk describes crystalline Rb4Tl3Pt2 at its relaxed geometry. The functional is GGA-PBE.

The density of states at the Fermi level comes out at 0.418 states/eV per atom. The value obtained for the total energy is -2.69 eV per atom. Its symmetry is C2/m. The value obtained for the theoretical density is 6.380 g cm⁻³.

a b c (Å): 4.3030 8.9358 9.9217
angles (deg): 109.42 102.52 90.00
With the nearest neighbours (Å) after each atom.
Atoms (fractional coordinates):
Rb 0.5771 0.8770 0.1542  1 Pt 3.37
Rb 0.2236 0.6792 0.4472  2 Pt 3.59, 3 Tl 3.71-3.83
Rb 0.7764 0.3208 0.5528  2 Pt 3.59, 3 Tl 3.71-3.83
Rb 0.4229 0.1230 0.8458  1 Pt 3.37
Pt 0.5823 0.4320 0.1645  4 Tl 2.80-2.86
Pt 0.4177 0.5680 0.8355  4 Tl 2.80-2.86
Tl 0.1050 0.2538 0.2100  2 Pt 2.80
Tl 0.8950 0.7462 0.7900  2 Pt 2.80
Tl 0.0000 0.5000 0.0000  4 Pt 2.86


This record from Alexandria via LeMat-Bulk describes crystalline Rb3Tl7Pt4 at its relaxed geometry. The functional is GGA-PBE.

The density of states at the Fermi level comes out at 0.392 states/eV per atom. The value obtained for the total energy is -3.21 eV per atom. Its symmetry is C2/m. The value obtained for the theoretical density is 9.683 g cm⁻³.

a b c (Å): 4.5646 10.6310 10.0776
angles (deg): 63.64 76.91 77.60
With the nearest neighbours (Å) after each atom.
Atoms (fractional coordinates):
Tl 0.3527 0.7801 0.5145  3 Pt 2.79-2.89
Tl 0.5268 0.7517 0.1947  3 Pt 2.92-2.94
Tl 0.8224 0.4063 0.9490  3 Pt 2.80-2.92
Tl 0.0000 0.0000 0.0000  2 Pt 2.84
Tl 0.4732 0.2483 0.8053  3 Pt 2.92-2.94
Tl 0.1776 0.5937 0.0510  3 Pt 2.80-2.92
Tl 0.6473 0.2199 0.4855  3 Pt 2.79-2.89
Pt 0.0826 0.1516 0.6831  5 Tl 2.84-2.94
Pt 0.9174 0.8484 0.3169  5 Tl 2.84-2.94
Pt 0.3398 0.5372 0.7832  5 Tl 2.79-2.92
Pt 0.6602 0.4628 0.2168  5 Tl 2.79-2.92
Rb 0.0000 0.5000 0.5000  2 Pt 3.30
Rb 0.3064 0.1477 0.2394  8 Tl 3.62-4.01, 4 Pt 3.67-3.92
Rb 0.6936 0.8523 0.7606  8 Tl 3.62-4.01, 4 Pt 3.67-3.92


This record from Alexandria via LeMat-Bulk describes crystalline Rb3Tl4Pt at its relaxed geometry. The functional is GGA-PBE.

The density of states at the Fermi level comes out at 0.623 states/eV per atom. The value obtained for the total energy is -2.39 eV per atom. Its symmetry is Imm2. The value obtained for the theoretical density is 6.771 g cm⁻³.

a b c (Å): 7.6869 7.6869 7.6869
angles (deg): 114.73 88.61 127.31
With the nearest neighbours (Å) after each atom.
Atoms (fractional coordinates):
Rb 0.9298 0.0000 0.9298  8 Tl 4.13-4.57, 2 Pt 4.27, 6 Rb 4.34-4.46
Rb 0.5635 0.7700 0.3335  7 Tl 3.77-3.87, 1 Rb 3.81, 2 Pt 3.94
Rb 0.5635 0.2300 0.7934  7 Tl 3.77-3.87, 1 Rb 3.81, 2 Pt 3.94
Tl 0.2260 0.6942 0.9202  1 Pt 2.77
Tl 0.0456 0.7348 0.3108  1 Pt 2.81
Tl 0.5760 0.2652 0.3108  1 Pt 2.81
Tl 0.2260 0.3058 0.5318  1 Pt 2.77
Pt 0.0208 0.5000 0.5208  4 Tl 2.77-2.81


This record from Alexandria via LeMat-Bulk describes crystalline Rb5Tl4Pt2 at its relaxed geometry. The functional is GGA-PBE.

The density of states at the Fermi level comes out at 0.738 states/eV per atom. The value obtained for the total energy is -2.49 eV per atom. Its symmetry is P2/m. The value obtained for the theoretical density is 5.820 g cm⁻³.

a b c (Å): 4.2154 9.0771 12.9921
angles (deg): 110.23 90.00 90.00
With the nearest neighbours (Å) after each atom.
Atoms (fractional coordinates):
Rb 0.0000 0.0370 0.1794  1 Pt 3.48, 2 Tl 3.68
Rb 0.0000 0.5000 0.0000  4 Tl 3.88, 2 Rb 4.22
Rb 0.0000 0.9630 0.8206  1 Pt 3.48, 2 Tl 3.68
Rb 0.0000 0.4993 0.3546  1 Pt 3.42, 2 Tl 3.71, 1 Rb 3.77
Rb 0.0000 0.5007 0.6454  1 Pt 3.42, 2 Tl 3.71, 1 Rb 3.77
Tl 0.5000 0.1519 0.4499  4 Pt 3.04-3.06
Tl 0.5000 0.8481 0.5501  4 Pt 3.04-3.06
Tl 0.5000 0.7526 0.2496  2 Pt 2.82
Tl 0.5000 0.2474 0.7504  2 Pt 2.82
Pt 0.0000 0.1083 0.6054  1 Pt 2.76, 6 Tl 2.82-3.06
Pt 0.0000 0.8917 0.3946  1 Pt 2.76, 6 Tl 2.82-3.06


This record from Alexandria via LeMat-Bulk describes crystalline RbTl6Pt at its relaxed geometry. The functional is GGA-PBE.

The density of states at the Fermi level comes out at 0.399 states/eV per atom. The value obtained for the total energy is -2.70 eV per atom. Its symmetry is P4/mmm. The value obtained for the theoretical density is 9.731 g cm⁻³.

a b c (Å): 4.9718 4.9718 10.4026
angles (deg): 90.00 90.00 90.00
With the nearest neighbours (Å) after each atom.
Atoms (fractional coordinates):
Tl 0.5000 0.0000 0.3458  2 Pt 2.96, 3 Tl 3.21
Tl 0.0000 0.5000 0.6542  2 Pt 2.96, 3 Tl 3.21
Tl 0.0000 0.5000 0.3458  2 Pt 2.96, 3 Tl 3.21
Tl 0.5000 0.0000 0.6542  2 Pt 2.96, 3 Tl 3.21
Tl 0.5000 0.5000 0.1500  5 Tl 3.12-3.21
Tl 0.5000 0.5000 0.8500  5 Tl 3.12-3.21
Pt 0.0000 0.0000 0.5000  8 Tl 2.96
Rb 0.0000 0.0000 0.0000  8 Tl 3.85


This record from Alexandria via LeMat-Bulk describes crystalline RbTl8Pt4 at its relaxed geometry. The functional is GGA-PBE.

The density of states at the Fermi level comes out at 0.436 states/eV per atom. The value obtained for the total energy is -3.48 eV per atom. Its symmetry is C2/m. The value obtained for the theoretical density is 11.384 g cm⁻³.

a b c (Å): 4.1125 10.1982 9.2505
angles (deg): 77.79 77.16 78.37
With the nearest neighbours (Å) after each atom.
Atoms (fractional coordinates):
Tl 0.4468 0.3819 0.7245  3 Pt 2.75-2.85
Tl 0.8350 0.0119 0.3180  3 Pt 2.81-2.91
Tl 0.2066 0.7211 0.8657  3 Pt 2.85-2.87
Tl 0.1964 0.9915 0.6158  3 Pt 2.81-2.91
Tl 0.1412 0.3336 0.3839  3 Pt 2.80-2.81
Tl 0.8902 0.6697 0.5498  3 Pt 2.80-2.81
Tl 0.8248 0.2824 0.0680  3 Pt 2.85-2.87
Tl 0.5846 0.6215 0.2093  3 Pt 2.75-2.85
Rb 0.5157 0.0017 0.9669  10 Tl 3.72-4.04, 2 Pt 3.91, 2 Rb 4.11
Pt 0.3969 0.8193 0.3869  6 Tl 2.75-2.91
Pt 0.2188 0.4759 0.0864  6 Tl 2.81-2.87, 2 Pt 2.96
Pt 0.8126 0.5276 0.8473  6 Tl 2.81-2.87, 2 Pt 2.96
Pt 0.6345 0.1840 0.5469  6 Tl 2.75-2.91